## SbAu2Se (GGA-PBE)

Data for an optimized crystal structure of SbAu2Se.

The magnetization comes out at 0.00 μB per cell. Its calculated total energy is -3.47 eV/atom. The volume comes out at 217.0 Å³ per cell. The formation energy (no corrections) is 0.073 eV/atom.

The structure in CIF format:
```
data_SbAu2Se
_space_group_name_H-M_alt 'P 1'
_space_group_IT_number 1
_cell_length_a 6.8147
_cell_length_b 6.8147
_cell_length_c 6.8147
_cell_angle_alpha 121.89
_cell_angle_beta 121.89
_cell_angle_gamma 86.76
loop_
_space_group_symop_operation_xyz
'x,y,z'
loop_
_atom_site_label
_atom_site_type_symbol
_atom_site_fract_x
_atom_site_fract_y
_atom_site_fract_z
Sb1 Sb 0.0000 0.0000 0.0000
Sb2 Sb 0.7500 0.2500 0.5000
Au1 Au 0.1357 0.6250 0.0107
Au2 Au 0.3750 0.3857 0.5107
Au3 Au 0.6143 0.1250 0.9893
Au4 Au 0.8750 0.8643 0.4893
Se1 Se 0.2500 0.7500 0.5000
Se2 Se 0.5000 0.5000 0.0000
```


## SbAu4Se (GGA-PBE)

Data for an optimized crystal structure of SbAu4Se.

The magnetization comes out at 0.00 μB per cell. Its calculated total energy is -3.27 eV/atom. The volume comes out at 124.4 Å³ per cell. The formation energy (no corrections) is 0.178 eV/atom.

The structure in CIF format:
```
data_SbAu4Se
_space_group_name_H-M_alt 'P 1'
_space_group_IT_number 1
_cell_length_a 5.6033
_cell_length_b 5.6033
_cell_length_c 5.6033
_cell_angle_alpha 60.00
_cell_angle_beta 60.00
_cell_angle_gamma 60.00
loop_
_space_group_symop_operation_xyz
'x,y,z'
loop_
_atom_site_label
_atom_site_type_symbol
_atom_site_fract_x
_atom_site_fract_y
_atom_site_fract_z
Sb1 Sb 0.0000 0.0000 0.0000
Au1 Au 0.3751 0.3751 0.3751
Au2 Au 0.3751 0.3751 0.8748
Au3 Au 0.3751 0.8748 0.3751
Au4 Au 0.8748 0.3751 0.3751
Se1 Se 0.7500 0.7500 0.7500
```


## Sb2Au2Se (GGA-PBE)

Data for an optimized crystal structure of Sb2Au2Se.

The magnetization comes out at 0.00 μB per cell. Its calculated total energy is -3.58 eV/atom. The calculation puts the offset from the most stable computed form at 0 meV per atom. The volume comes out at 239.7 Å³ per cell. The formation energy (no corrections) is 0.074 eV/atom.

The structure in CIF format:
```
data_Sb2Au2Se
_space_group_name_H-M_alt 'P 1'
_space_group_IT_number 1
_cell_length_a 8.0139
_cell_length_b 8.0139
_cell_length_c 3.7326
_cell_angle_alpha 90.00
_cell_angle_beta 90.00
_cell_angle_gamma 90.00
loop_
_space_group_symop_operation_xyz
'x,y,z'
loop_
_atom_site_label
_atom_site_type_symbol
_atom_site_fract_x
_atom_site_fract_y
_atom_site_fract_z
Sb1 Sb 0.1953 0.3047 0.0000
Sb2 Sb 0.3047 0.8047 0.0000
Sb3 Sb 0.6953 0.1953 0.0000
Sb4 Sb 0.8047 0.6953 0.0000
Au1 Au 0.1209 0.6209 0.5000
Au2 Au 0.3791 0.1209 0.5000
Au3 Au 0.6209 0.8791 0.5000
Au4 Au 0.8791 0.3791 0.5000
Se1 Se 0.0000 0.0000 0.0000
Se2 Se 0.5000 0.5000 0.0000
```


## SbAuSe2 (GGA-PBE)

Data for an optimized crystal structure of SbAuSe2.

The magnetization comes out at 0.00 μB per cell. Its calculated total energy is -3.63 eV/atom. The volume comes out at 94.4 Å³ per cell. The formation energy (no corrections) is -0.038 eV/atom.

The structure in CIF format:
```
data_SbAuSe2
_space_group_name_H-M_alt 'P 1'
_space_group_IT_number 1
_cell_length_a 4.9581
_cell_length_b 4.9581
_cell_length_c 4.1804
_cell_angle_alpha 90.00
_cell_angle_beta 90.00
_cell_angle_gamma 113.27
loop_
_space_group_symop_operation_xyz
'x,y,z'
loop_
_atom_site_label
_atom_site_type_symbol
_atom_site_fract_x
_atom_site_fract_y
_atom_site_fract_z
Sb1 Sb 0.0000 0.0000 0.0000
Au1 Au 0.5000 0.5000 0.0000
Se1 Se 0.2471 0.7529 0.5000
Se2 Se 0.7529 0.2471 0.5000
```


## SbAu2Se (GGA-PBE)

Data for an optimized crystal structure of SbAu2Se.

The magnetization comes out at 0.00 μB per cell. Its calculated total energy is -3.53 eV/atom. The volume comes out at 91.4 Å³ per cell. The formation energy (no corrections) is 0.011 eV/atom.

The structure in CIF format:
```
data_SbAu2Se
_space_group_name_H-M_alt 'P 1'
_space_group_IT_number 1
_cell_length_a 6.1916
_cell_length_b 6.1916
_cell_length_c 4.3882
_cell_angle_alpha 110.58
_cell_angle_beta 110.58
_cell_angle_gamma 35.77
loop_
_space_group_symop_operation_xyz
'x,y,z'
loop_
_atom_site_label
_atom_site_type_symbol
_atom_site_fract_x
_atom_site_fract_y
_atom_site_fract_z
Sb1 Sb 0.0000 0.0000 0.0000
Au1 Au 0.2510 0.2510 0.2510
Au2 Au 0.7490 0.7490 0.7490
Se1 Se 0.5000 0.5000 0.5000
```


## SbAuSe (GGA-PBE)

Data for an optimized crystal structure of SbAuSe.

The magnetization comes out at 0.00 μB per cell. Its calculated total energy is -3.76 eV/atom. The volume comes out at 75.9 Å³ per cell. The formation energy (no corrections) is -0.136 eV/atom.

The structure in CIF format:
```
data_SbAuSe
_space_group_name_H-M_alt 'P 1'
_space_group_IT_number 1
_cell_length_a 4.0359
_cell_length_b 4.3775
_cell_length_c 4.8304
_cell_angle_alpha 89.66
_cell_angle_beta 89.94
_cell_angle_gamma 62.80
loop_
_space_group_symop_operation_xyz
'x,y,z'
loop_
_atom_site_label
_atom_site_type_symbol
_atom_site_fract_x
_atom_site_fract_y
_atom_site_fract_z
Sb1 Sb 0.0000 0.0000 0.0000
Au1 Au 0.6370 0.7231 0.6950
Se1 Se 0.2475 0.4991 0.3859
```


## SbAuSe2 (GGA-PBE)

Data for an optimized crystal structure of SbAuSe2.

The magnetization comes out at 0.00 μB per cell. Its calculated total energy is -3.35 eV/atom. The volume comes out at 99.8 Å³ per cell. The formation energy (no corrections) is 0.244 eV/atom.

The structure in CIF format:
```
data_SbAuSe2
_space_group_name_H-M_alt 'P 1'
_space_group_IT_number 1
_cell_length_a 3.8580
_cell_length_b 3.8580
_cell_length_c 7.7548
_cell_angle_alpha 90.00
_cell_angle_beta 90.00
_cell_angle_gamma 120.17
loop_
_space_group_symop_operation_xyz
'x,y,z'
loop_
_atom_site_label
_atom_site_type_symbol
_atom_site_fract_x
_atom_site_fract_y
_atom_site_fract_z
Sb1 Sb 0.0000 0.0000 0.0000
Au1 Au 0.5000 0.5000 0.7456
Se1 Se 0.0000 0.0000 0.5145
Se2 Se 0.5000 0.5000 0.2617
```


## SbAuSe (GGA-PBE)

Data for an optimized crystal structure of SbAuSe.

The magnetization comes out at 0.00 μB per cell. Its calculated total energy is -3.68 eV/atom. The volume comes out at 155.2 Å³ per cell. The formation energy (no corrections) is -0.050 eV/atom.

The structure in CIF format:
```
data_SbAuSe
_space_group_name_H-M_alt 'P 1'
_space_group_IT_number 1
_cell_length_a 4.7403
_cell_length_b 5.5974
_cell_length_c 6.8040
_cell_angle_alpha 67.08
_cell_angle_beta 89.72
_cell_angle_gamma 70.61
loop_
_space_group_symop_operation_xyz
'x,y,z'
loop_
_atom_site_label
_atom_site_type_symbol
_atom_site_fract_x
_atom_site_fract_y
_atom_site_fract_z
Sb1 Sb 0.0000 0.0000 0.0000
Sb2 Sb 0.1591 0.0104 0.4330
Au1 Au 0.5242 0.8873 0.8333
Au2 Au 0.6363 0.4724 0.4505
Se1 Se 0.3846 0.3858 0.1817
Se2 Se 0.9212 0.5449 0.7116
```


## SbAuSe (GGA-PBE)

Data for an optimized crystal structure of SbAuSe.

The magnetization comes out at 0.00 μB per cell. Its calculated total energy is -3.48 eV/atom. The volume comes out at 75.4 Å³ per cell. The formation energy (no corrections) is 0.146 eV/atom.

The structure in CIF format:
```
data_SbAuSe
_space_group_name_H-M_alt 'P 1'
_space_group_IT_number 1
_cell_length_a 5.9150
_cell_length_b 5.9150
_cell_length_c 5.9150
_cell_angle_alpha 142.73
_cell_angle_beta 142.73
_cell_angle_gamma 53.72
loop_
_space_group_symop_operation_xyz
'x,y,z'
loop_
_atom_site_label
_atom_site_type_symbol
_atom_site_fract_x
_atom_site_fract_y
_atom_site_fract_z
Sb1 Sb 0.0000 0.0000 0.0000
Au1 Au 0.6066 0.6066 0.0000
Se1 Se 0.2479 0.2479 0.0000
```


## SbAuSe (GGA-PBE)

Data for an optimized crystal structure of SbAuSe.

The magnetization comes out at 0.00 μB per cell. Its calculated total energy is -3.47 eV/atom. The volume comes out at 71.9 Å³ per cell. The formation energy (no corrections) is 0.156 eV/atom.

The structure in CIF format:
```
data_SbAuSe
_space_group_name_H-M_alt 'P 1'
_space_group_IT_number 1
_cell_length_a 6.5912
_cell_length_b 6.1628
_cell_length_c 3.6722
_cell_angle_alpha 79.79
_cell_angle_beta 66.96
_cell_angle_gamma 33.25
loop_
_space_group_symop_operation_xyz
'x,y,z'
loop_
_atom_site_label
_atom_site_type_symbol
_atom_site_fract_x
_atom_site_fract_y
_atom_site_fract_z
Sb1 Sb 0.0000 0.0000 0.0000
Au1 Au 0.6606 0.6606 0.3394
Se1 Se 0.3082 0.3082 0.6918
```


## SbAuSe2 (GGA-PBE)

Data for an optimized crystal structure of SbAuSe2.

The magnetization comes out at 0.00 μB per cell. Its calculated total energy is -3.31 eV/atom. The volume comes out at 87.3 Å³ per cell. The formation energy (no corrections) is 0.278 eV/atom.

The structure in CIF format:
```
data_SbAuSe2
_space_group_name_H-M_alt 'P 1'
_space_group_IT_number 1
_cell_length_a 3.5538
_cell_length_b 3.5538
_cell_length_c 6.9156
_cell_angle_alpha 90.00
_cell_angle_beta 90.00
_cell_angle_gamma 90.00
loop_
_space_group_symop_operation_xyz
'x,y,z'
loop_
_atom_site_label
_atom_site_type_symbol
_atom_site_fract_x
_atom_site_fract_y
_atom_site_fract_z
Sb1 Sb 0.0000 0.0000 0.0000
Au1 Au 0.0000 0.0000 0.5000
Se1 Se 0.5000 0.5000 0.2583
Se2 Se 0.5000 0.5000 0.7417
```


## SbAuSe (GGA-PBE)

Data for an optimized crystal structure of SbAuSe.

The magnetization comes out at 0.00 μB per cell. Its calculated total energy is -3.75 eV/atom. The volume comes out at 146.3 Å³ per cell. The formation energy (no corrections) is -0.117 eV/atom.

The structure in CIF format:
```
data_SbAuSe
_space_group_name_H-M_alt 'P 1'
_space_group_IT_number 1
_cell_length_a 4.3081
_cell_length_b 5.6014
_cell_length_c 6.4126
_cell_angle_alpha 90.00
_cell_angle_beta 109.05
_cell_angle_gamma 90.20
loop_
_space_group_symop_operation_xyz
'x,y,z'
loop_
_atom_site_label
_atom_site_type_symbol
_atom_site_fract_x
_atom_site_fract_y
_atom_site_fract_z
Sb1 Sb 0.0000 0.0000 0.0000
Sb2 Sb 0.3359 0.5003 0.6533
Au1 Au 0.0357 0.5002 0.9596
Au2 Au 0.6963 0.9997 0.3037
Se1 Se 0.4220 0.9993 0.6133
Se2 Se 0.7742 0.4998 0.2799
```


## Sb3AuSe (GGA-PBE)

Data for an optimized crystal structure of Sb3AuSe.

The magnetization comes out at 0.00 μB per cell. Its calculated total energy is -3.00 eV/atom. The calculation puts the offset from the most stable computed form at 860 meV per atom. The volume comes out at 155.5 Å³ per cell. The formation energy (no corrections) is 0.824 eV/atom.

The structure in CIF format:
```
data_Sb3AuSe
_space_group_name_H-M_alt 'P 1'
_space_group_IT_number 1
_cell_length_a 5.3780
_cell_length_b 5.3780
_cell_length_c 5.3780
_cell_angle_alpha 90.00
_cell_angle_beta 90.00
_cell_angle_gamma 90.00
loop_
_space_group_symop_operation_xyz
'x,y,z'
loop_
_atom_site_label
_atom_site_type_symbol
_atom_site_fract_x
_atom_site_fract_y
_atom_site_fract_z
Sb1 Sb 0.0000 0.0000 0.5000
Sb2 Sb 0.0000 0.5000 0.0000
Sb3 Sb 0.5000 0.0000 0.0000
Au1 Au 0.5000 0.5000 0.5000
Se1 Se 0.0000 0.0000 0.0000
```


## SbAuSe2 (GGA-PBE)

Data for an optimized crystal structure of SbAuSe2.

The magnetization comes out at 0.00 μB per cell. Its calculated total energy is -3.44 eV/atom. The volume comes out at 91.4 Å³ per cell. The formation energy (no corrections) is 0.156 eV/atom.

The structure in CIF format:
```
data_SbAuSe2
_space_group_name_H-M_alt 'P 1'
_space_group_IT_number 1
_cell_length_a 6.2458
_cell_length_b 6.2458
_cell_length_c 4.0292
_cell_angle_alpha 107.83
_cell_angle_beta 107.83
_cell_angle_gamma 126.99
loop_
_space_group_symop_operation_xyz
'x,y,z'
loop_
_atom_site_label
_atom_site_type_symbol
_atom_site_fract_x
_atom_site_fract_y
_atom_site_fract_z
Sb1 Sb 0.0000 0.0000 0.0000
Au1 Au 0.5000 0.5000 0.0000
Se1 Se 0.0000 0.5000 0.5000
Se2 Se 0.5000 0.0000 0.5000
```